# 1
Below is a relaxed structure of CaMgH4, with properties calculated at the PBE level.

Theoretical density   1.7 g/cm³
VASP energy   -18.91 eV for the cell shown
DOS at the Fermi energy   0.04 states/eV per atom

a = 3.6470 Å, b = 3.6470 Å, c = 5.1007 Å
α = 95.47°, β = 95.47°, γ = 89.12°
Atoms (fractional coordinates):
Ca 0.0000 0.0000 0.0000
Mg 0.5030 0.5030 0.4985
H 0.0449 0.5399 0.2685
H 0.4604 0.9536 0.7344
H 0.5399 0.0449 0.2685
H 0.9536 0.4604 0.7344

# 2
Below is a relaxed structure of Hg2PbCl8, with properties calculated at the PBE level.

Relative energy among the computed polymorphs   0.000 eV/atom
Raw formation energy   -598 kJ/mol of formula units
Theoretical density   3.6 g/cm³
VASP energy   -25.28 eV for the cell shown

a = 7.2332 Å, b = 7.2332 Å, c = 9.6550 Å
α = 104.34°, β = 104.34°, γ = 58.38°
Atoms (fractional coordinates):
Hg 0.1548 0.1548 0.3820
Hg 0.8452 0.8452 0.6180
Pb 0.0000 0.0000 0.0000
Cl 0.0401 0.0401 0.7248
Cl 0.1046 0.6119 0.8915
Cl 0.3383 0.3383 0.5161
Cl 0.3881 0.8954 0.1085
Cl 0.6119 0.1046 0.8915
Cl 0.6617 0.6617 0.4839
Cl 0.8954 0.3881 0.1085
Cl 0.9599 0.9599 0.2752

# 3
Below is a relaxed structure of GaSn3Pb, with properties calculated at the PBE level.

Relative energy among the computed polymorphs   0.691 eV/atom
Theoretical density   5.3 g/cm³
Formation energy from the elements   0.78 eV/atom
VASP energy   -14.83 eV for the cell shown
DOS at the Fermi energy   0.78 states/eV per atom

a = 5.8235 Å, b = 5.8235 Å, c = 5.8235 Å
α = 90.00°, β = 90.00°, γ = 90.00°
Atoms (fractional coordinates):
Ga 0.0000 0.0000 0.0000
Sn 0.0000 0.5000 0.5000
Sn 0.5000 0.0000 0.5000
Sn 0.5000 0.5000 0.0000
Pb 0.5000 0.5000 0.5000

# 4
Below is a relaxed structure of Na3Pm3SbO8, with properties calculated at the PBE level.

Raw formation energy   -3445 kJ/mol of formula units
Theoretical density   5.2 g/cm³
VASP energy   -97.70 eV for the cell shown
DOS at the Fermi energy   0.09 states/eV per atom

a = 6.9277 Å, b = 6.9277 Å, c = 6.9277 Å
α = 60.86°, β = 60.86°, γ = 60.86°
Atoms (fractional coordinates):
Na 0.0000 0.5000 0.5000
Na 0.5000 0.0000 0.5000
Na 0.5000 0.5000 0.0000
Pm 0.0000 0.0000 0.5000
Pm 0.0000 0.5000 0.0000
Pm 0.5000 0.0000 0.0000
Sb 0.5000 0.5000 0.5000
O 0.2378 0.2378 0.2378
O 0.2650 0.7181 0.7181
O 0.2819 0.2819 0.7350
O 0.2819 0.7350 0.2819
O 0.7181 0.2650 0.7181
O 0.7181 0.7181 0.2650
O 0.7350 0.2819 0.2819
O 0.7622 0.7622 0.7622